No. 1
A geometry-optimized HoAgTe3Pb structure, computed with PBE.

As for the energy relative to the lowest polymorph listed for this composition: 0.010 eV/atom.

The structure in extended XYZ format:
```
24
Lattice="11.302 0.000 0.000 0.000 4.356 0.000 0.000 0.000 14.728" Properties=species:S:1:pos:R:3 pbc="T T T"
Ag 2.941 1.089 3.257
Ag 8.592 1.089 4.107
Ag 2.710 3.267 10.621
Ag 8.361 3.267 11.470
Ho 0.230 3.267 3.585
Ho 5.881 3.267 3.779
Ho 5.421 1.089 10.949
Ho 11.072 1.089 11.143
Pb 3.137 3.267 0.228
Pb 8.788 3.267 7.136
Pb 2.514 1.089 7.591
Pb 8.165 1.089 14.500
Te 0.814 1.089 1.477
Te 5.254 1.089 1.626
Te 8.665 3.267 2.304
Te 3.014 3.267 5.060
Te 10.905 1.089 5.738
Te 6.465 1.089 5.887
Te 4.837 3.267 8.841
Te 0.397 3.267 8.989
Te 8.287 1.089 9.668
Te 2.636 1.089 12.424
Te 6.047 3.267 13.102
Te 10.488 3.267 13.251
```


No. 2
A geometry-optimized HoAgTe3Pb structure, computed with PBE.

As for the energy relative to the lowest polymorph listed for this composition: 0.013 eV/atom.

The structure in extended XYZ format:
```
12
Lattice="-0.522 7.693 -0.506 -0.892 6.182 -4.548 -11.127 -0.671 1.271" Properties=species:S:1:pos:R:3 pbc="T T T"
Ag -3.446 6.345 -2.055
Ag -9.096 6.859 -1.729
Ho 0.000 0.000 0.000
Ho -5.564 -0.336 0.635
Pb -3.868 10.493 -3.565
Pb -8.673 2.711 -0.218
Te -1.084 4.888 -1.727
Te -2.913 1.120 -0.151
Te -5.483 4.623 -1.224
Te -7.058 8.581 -2.559
Te -9.628 12.084 -3.632
Te -11.458 8.315 -2.056
```


No. 3
A geometry-optimized HoAgTe3Pb structure, computed with PBE.

As for the energy relative to the lowest polymorph listed for this composition: 0.067 eV/atom.

The structure in extended XYZ format:
```
24
Lattice="-4.320 7.893 -1.120 -3.659 -1.703 2.112 6.373 5.706 15.636" Properties=species:S:1:pos:R:3 pbc="T T T"
Ag -3.462 2.463 3.355
Ag -4.219 7.666 6.237
Ag 2.613 4.231 10.392
Ag 1.856 9.433 13.274
Ho -5.785 4.841 1.249
Ho -0.852 3.378 8.614
Ho -0.755 8.519 8.015
Ho 4.179 7.055 15.380
Pb 0.253 1.413 4.033
Pb -1.639 5.600 4.131
Pb 0.033 6.296 12.498
Pb -1.859 10.483 12.596
Te -2.846 -0.070 2.380
Te -2.632 4.229 1.306
Te -4.915 6.266 3.904
Te -2.196 2.821 5.836
Te 1.600 2.138 6.949
Te -2.569 6.059 7.800
Te 0.963 5.838 8.829
Te -3.206 9.759 9.680
Te 0.590 9.076 10.793
Te 3.309 5.630 12.725
Te 1.026 7.667 15.323
Te 1.240 11.966 14.249
```


No. 4
A geometry-optimized HoAgTe3Pb structure, computed with PBE.

As for the energy relative to the lowest polymorph listed for this composition: 0.000 eV/atom.

The structure in extended XYZ format:
```
24
Lattice="14.644 0.000 0.000 0.000 4.347 0.000 0.000 0.000 11.640" Properties=species:S:1:pos:R:3 pbc="T T T"
Ag 7.203 1.087 1.018
Ag 14.525 1.087 4.802
Ag 0.119 3.260 6.838
Ag 7.441 3.260 10.622
Ho 14.499 3.260 2.044
Ho 7.177 3.260 3.776
Ho 7.467 1.087 7.864
Ho 0.145 1.087 9.595
Pb 4.099 3.260 0.623
Pb 11.421 3.260 5.197
Pb 3.223 1.087 6.443
Pb 10.545 1.087 11.017
Te 1.595 1.087 0.696
Te 9.099 3.260 1.420
Te 12.463 1.087 2.854
Te 5.141 1.087 2.966
Te 1.777 3.260 4.400
Te 8.917 1.087 5.124
Te 5.727 3.260 6.516
Te 12.866 1.087 7.240
Te 9.503 3.260 8.674
Te 2.181 3.260 8.786
Te 5.544 1.087 10.220
Te 13.049 3.260 10.944
```


No. 5
A geometry-optimized HoAgTe3Pb structure, computed with PBE.

As for the energy relative to the lowest polymorph listed for this composition: 0.006 eV/atom.

The structure in extended XYZ format:
```
12
Lattice="-6.502 5.003 -1.423 -2.001 -1.605 3.501 6.686 5.445 6.318" Properties=species:S:1:pos:R:3 pbc="T T T"
Ag -3.687 3.021 0.622
Ag 1.870 5.823 7.773
Ho -4.501 4.609 3.575
Ho 2.684 4.235 4.821
Pb -1.683 1.091 3.573
Pb -0.134 7.753 4.823
Te -6.363 2.957 1.753
Te -1.765 4.226 2.273
Te 1.462 1.973 3.085
Te -3.279 6.871 5.310
Te -0.052 4.618 6.122
Te 4.546 5.887 6.643
```


No. 6
A geometry-optimized HoTmAg2Pb2 structure, computed with PBE.

Its total energy is -4.06 eV per atom.

The structure in extended XYZ format:
```
6
Lattice="-1.757 -3.661 -2.548 4.689 0.988 -0.143 1.134 -4.549 5.753" Properties=species:S:1:pos:R:3 pbc="T T T"
Ag 0.589 -2.903 -0.745
Ag 3.305 -3.630 2.935
Ho 0.562 -2.255 2.851
Pb 2.850 -1.803 0.625
Pb 1.268 -5.629 2.702
Tm 1.129 -4.530 5.728
```


no.,M_tot (μB/atom)
1,0.001
2,0.000
3,0.000
4,0.001
5,0.000
6,0.000